1.
DFT (PBE-GGA) results for NpTlHgCl6 after structural relaxation.

Output
The calculation puts the formation energy without anion corrections at -1.22 eV/atom. The value obtained for the electronic total energy is -4.185 eV/atom. As for the crystal system: trigonal.

a = 7.8336 Å, b = 7.8336 Å, c = 7.2723 Å
α = 90.00°, β = 90.00°, γ = 120.00°
Last column: nearest neighbours and their distance in Å.
Space group P312 (No. 149)
Symmetry-distinct sites (fractional):
Np  0.0000  0.0000  0.0000 [1 per cell]  6 Cl 2.54
Tl  0.6667  0.3333  0.0000 [1 per cell]  6 Cl 3.23
Hg  0.3333  0.6667  0.5000 [1 per cell]  6 Cl 3.67
Cl  0.2686  0.0069  0.2003 [6 per cell]  1 Np 2.54

2.
DFT (PBE-GGA) results for NpTl2HgCl8 after structural relaxation.

Output
The calculation puts the formation energy without anion corrections at -1.20 eV/atom. The value obtained for the electronic total energy is -3.924 eV/atom. As for the crystal system: triclinic.

a = 6.6931 Å, b = 6.8524 Å, c = 9.3292 Å
α = 89.87°, β = 89.92°, γ = 86.08°
Last column: nearest neighbours and their distance in Å.
Space group P-1 (No. 2)
Symmetry-distinct sites (fractional):
Np  0.0000  0.0000  0.0000 [1 per cell]  6 Cl 2.62-2.64
Tl  0.4979  0.5005  0.2460 [2 per cell]  6 Cl 3.11-3.36
Hg  0.0000  0.0000  0.5000 [1 per cell]  2 Cl 2.34
Cl  0.2001  0.7067  0.5011 [2 per cell]  1 Hg 2.34
Cl  0.2209  0.1358  0.7960 [2 per cell]  1 Np 2.62
Cl  0.2223  0.1333  0.2034 [2 per cell]  1 Np 2.62
Cl  0.2268  0.6699  0.9990 [2 per cell]  1 Np 2.64

3.
DFT (PBE-GGA) results for NpTl2Hg2Cl6 after structural relaxation.

Output
The calculation puts the formation energy without anion corrections at -1.12 eV/atom. The value obtained for the electronic total energy is -3.792 eV/atom. As for the crystal system: monoclinic.

a = 7.7392 Å, b = 14.1232 Å, c = 9.2648 Å
α = 90.00°, β = 112.54°, γ = 90.00°
Last column: nearest neighbours and their distance in Å.
Space group C2/m (No. 12)
Symmetry-distinct sites (fractional):
Np  0.0000  0.0000  0.0000 [2 per cell]  6 Cl 2.62-2.63
Tl  0.0000  0.3311  0.0000 [4 per cell]  6 Cl 3.22-3.32
Hg  0.0000  0.3092  0.5000 [4 per cell]  4 Cl 3.80-3.94, 2 Hg 4.22
Cl  0.0548  0.1338  0.8264 [8 per cell]  1 Np 2.62
Cl  0.1373  0.5000  0.8356 [4 per cell]  1 Np 2.63

4.
DFT (PBE-GGA) results for Hg2ClO after structural relaxation.

Output
The calculation puts the formation energy without anion corrections at -0.40 eV/atom. The value obtained for the electronic total energy is -2.252 eV/atom. As for the crystal system: triclinic.

a = 7.0286 Å, b = 7.1352 Å, c = 9.6055 Å
α = 80.41°, β = 74.12°, γ = 65.83°
Last column: nearest neighbours and their distance in Å.
Space group P-1 (No. 2)
Symmetry-distinct sites (fractional):
Hg  0.0000  0.0000  0.0000 [1 per cell]  2 O 2.05
Hg  0.1524  0.3518  0.7706 [2 per cell]  2 O 2.06-2.08
Hg  0.2079  0.2105  0.4013 [2 per cell]  1 Cl 2.51, 1 O 2.54, 1 Hg 2.63
Hg  0.3211  0.2595  0.1173 [2 per cell]  1 O 2.49, 1 Cl 2.50, 1 Hg 2.63
Hg  0.5000  0.5000  0.5000 [1 per cell]  2 O 2.05
Cl  0.1965  0.9745  0.6253 [2 per cell]  1 Hg 2.51
Cl  0.4370  0.7262  0.1266 [2 per cell]  1 Hg 2.50
O  0.0631  0.2593  0.9846 [2 per cell]  2 Hg 2.05-2.06
O  0.2148  0.4618  0.5560 [2 per cell]  2 Hg 2.05-2.08

5.
DFT (PBE-GGA) results for Hg3ClO3 after structural relaxation.

Output
The calculation puts the formation energy without anion corrections at -0.10 eV/atom. The value obtained for the electronic total energy is -2.616 eV/atom. As for the crystal system: trigonal.

a = 6.5682 Å, b = 6.5682 Å, c = 22.0432 Å
α = 90.00°, β = 90.00°, γ = 120.00°
Last column: nearest neighbours and their distance in Å.
Space group R-3 (No. 148, hexagonal axes)
Symmetry-distinct sites (fractional):
Hg  0.0079  0.6545  0.4012 [18 per cell]  3 O 2.21-2.23
Cl  0.0000  0.0000  0.1732 [6 per cell]  6 Hg 2.92-3.18
O  0.0093  0.6877  0.6144 [18 per cell]  3 Hg 2.21-2.23

6.
DFT (PBE-GGA) results for Hg7Cl2O2 after structural relaxation.

Output
The calculation puts the formation energy without anion corrections at -0.17 eV/atom. The value obtained for the electronic total energy is -1.597 eV/atom. As for the crystal system: monoclinic.

a = 7.9817 Å, b = 9.0951 Å, c = 8.0453 Å
α = 90.00°, β = 97.03°, γ = 90.00°
Last column: nearest neighbours and their distance in Å.
Space group C2/m (No. 12)
Symmetry-distinct sites (fractional):
Hg  0.0000  0.0000  0.0000 [2 per cell]  2 Hg 2.80
Hg  0.1622  0.5000  0.8571 [4 per cell]  1 O 2.20
Hg  0.2255  0.2770  0.2374 [8 per cell]  1 O 2.24
Cl  0.0000  0.2212  0.5000 [4 per cell]  4 Hg 2.85-2.98
O  0.1156  0.5000  0.1737 [4 per cell]  3 Hg 2.20-2.24

7.
DFT (PBE-GGA) results for HgCl3O after structural relaxation.

Output
The calculation puts the formation energy without anion corrections at -0.17 eV/atom. The value obtained for the electronic total energy is -2.327 eV/atom. As for the crystal system: monoclinic.

a = 6.5251 Å, b = 8.3816 Å, c = 11.7845 Å
α = 90.00°, β = 107.45°, γ = 90.00°
Last column: nearest neighbours and their distance in Å.
Space group P2/c (No. 13)
Symmetry-distinct sites (fractional):
Hg  0.0447  0.2015  0.0903 [4 per cell]  3 Cl 2.42-2.63
Cl  0.2239  0.1211  0.5908 [4 per cell]  1 Hg 2.42
Cl  0.2688  0.3827  0.9889 [4 per cell]  1 O 2.49, 1 Hg 2.63
Cl  0.2760  0.2396  0.2928 [4 per cell]  1 Hg 2.43
O  0.0968  0.3541  0.7710 [4 per cell]  1 O 1.21

8.
DFT (PBE-GGA) results for Hg7ClO4 after structural relaxation.

Output
The calculation puts the formation energy without anion corrections at -0.19 eV/atom. The value obtained for the electronic total energy is -2.171 eV/atom. As for the crystal system: monoclinic.

a = 5.9360 Å, b = 6.9255 Å, c = 13.8945 Å
α = 90.00°, β = 96.50°, γ = 90.00°
Last column: nearest neighbours and their distance in Å.
Space group P2_1 (No. 4)
Symmetry-distinct sites (fractional):
Hg  0.0006  0.0000  0.0171 [2 per cell]  4 O 2.32-2.42
Hg  0.0233  0.1993  0.7733 [2 per cell]  2 O 2.22-2.43
Hg  0.1682  0.9120  0.4510 [2 per cell]  2 O 2.10-2.12
Hg  0.2944  0.3142  0.3699 [2 per cell]  1 O 2.23
Hg  0.3760  0.2912  0.1845 [2 per cell]  1 O 2.21
Hg  0.3770  0.1885  0.6666 [2 per cell]  2 O 2.24-2.47
Hg  0.4540  0.2015  0.8971 [2 per cell]  2 O 2.21-2.30
Cl  0.1683  0.6431  0.8093 [2 per cell]  3 Hg 2.89-3.22
O  0.1650  0.1994  0.5028 [2 per cell]  2 Hg 2.12-2.23
O  0.1745  0.7269  0.1011 [2 per cell]  4 Hg 2.21-2.42
O  0.2583  0.2533  0.0288 [2 per cell]  4 Hg 2.21-2.34
O  0.2618  0.6802  0.3664 [2 per cell]  2 Hg 2.10-2.24

9.
DFT (PBE-GGA) results for Hg2Cl2O after structural relaxation.

Output
The calculation puts the formation energy without anion corrections at -0.31 eV/atom. The value obtained for the electronic total energy is -2.157 eV/atom. As for the crystal system: orthorhombic.

a = 3.5377 Å, b = 12.5637 Å, c = 10.8658 Å
α = 90.00°, β = 90.00°, γ = 90.00°
Last column: nearest neighbours and their distance in Å.
Space group Cmc2_1 (No. 36)
Symmetry-distinct sites (fractional):
Hg  0.0000  0.0317  0.0000 [4 per cell]  2 O 2.34
Hg  0.0000  0.2483  0.1277 [4 per cell]  2 O 2.34
Cl  0.0000  0.1248  0.7330 [4 per cell]  2 Hg 2.64
Cl  0.0000  0.3928  0.9178 [4 per cell]  3 Hg 2.64-2.92
O  0.0000  0.3612  0.5660 [4 per cell]  4 Hg 2.34

10.
DFT (PBE-GGA) results for Hg2ClO after structural relaxation.

Output
The calculation puts the formation energy without anion corrections at -0.28 eV/atom. The value obtained for the electronic total energy is -2.131 eV/atom. As for the crystal system: tetragonal.

a = 5.8107 Å, b = 5.8107 Å, c = 12.0413 Å
α = 90.00°, β = 90.00°, γ = 90.00°
Last column: nearest neighbours and their distance in Å.
Space group I-42d (No. 122)
Symmetry-distinct sites (fractional):
Hg  0.1499  0.2500  0.1250 [8 per cell]  2 O 2.27
Cl  0.0000  0.0000  0.5000 [4 per cell]  4 Hg 2.92
O  0.0000  0.0000  0.0000 [4 per cell]  4 Hg 2.27

11.
DFT (PBE-GGA) results for Hg2ClO after structural relaxation.

Output
The calculation puts the formation energy without anion corrections at -0.27 eV/atom. The value obtained for the electronic total energy is -2.122 eV/atom. As for the crystal system: trigonal.

a = 6.8478 Å, b = 6.8478 Å, c = 8.1475 Å
α = 90.00°, β = 90.00°, γ = 120.00°
Last column: nearest neighbours and their distance in Å.
Space group P3_121 (No. 152)
Symmetry-distinct sites (fractional):
Hg  0.1805  0.4225  0.3350 [6 per cell]  2 O 2.22-2.28
Cl  0.0000  0.7626  0.6667 [3 per cell]  4 Hg 2.88-3.11
O  0.0000  0.5473  0.1667 [3 per cell]  4 Hg 2.22-2.28

12.
DFT (PBE-GGA) results for HgCl3O after structural relaxation.

Output
The calculation puts the formation energy without anion corrections at 0.50 eV/atom. The value obtained for the electronic total energy is -1.661 eV/atom. As for the crystal system: cubic.

a = 5.1794 Å, b = 5.1794 Å, c = 5.1794 Å
α = 90.00°, β = 90.00°, γ = 90.00°
Last column: nearest neighbours and their distance in Å.
Space group Pm-3m (No. 221)
Symmetry-distinct sites (fractional):
Hg  0.0000  0.0000  0.0000 [1 per cell]  6 Cl 2.59
Cl  0.0000  0.0000  0.5000 [3 per cell]  2 Hg 2.59
O  0.5000  0.5000  0.5000 [1 per cell]  12 Cl 3.66

Here are the calculated magnetic moment numbers, same order: 0.2206, 0.2500, 0.2727, 0.0000, 0.0917, 0.0000, 0.0287, 0.0000, 0.0000, 0.0000, 0.0000, 0.4827 (μB per atom).